a:
# TaCrPt

A crystal of TaCrPt relaxed with PBEsol (SCAN, Alexandria via LeMat-Bulk).

Structure (POSCAR):
```
TaCrPt
1.0
4.269 0.000 0.000
2.134 3.697 0.000
2.134 1.232 3.485
Cr Pt Ta
1 1 1
direct
0.500 0.500 0.500
0.250 0.250 0.250
0.000 0.000 0.000
```

b:
# TaCrPt

A crystal of TaCrPt relaxed with PBEsol (SCAN, Alexandria via LeMat-Bulk).

Structure (POSCAR):
```
TaCrPt
1.0
-1.526 -0.658 -2.133
-1.271 -1.868 1.486
-2.664 5.340 1.973
Ta Cr Pt
1 1 1
direct
0.336 0.336 0.673
0.008 0.008 0.016
0.656 0.656 0.311
```

The data favor b; the next most stable structure lies 169 meV/atom above it.

a:
# CrTe2Pt

A crystal of CrTe2Pt relaxed with PBEsol (SCAN, Alexandria via LeMat-Bulk).

Structure (POSCAR):
```
CrTe2Pt
1.0
-0.308 3.713 0.641
-0.255 -0.698 3.921
5.415 -1.491 0.087
Te Pt Cr
2 1 1
direct
0.023 0.000 0.046
0.739 0.500 0.478
0.279 0.000 0.557
0.459 0.500 0.918
```

b:
# CrTe2Pt

A crystal of CrTe2Pt relaxed with PBEsol (SCAN, Alexandria via LeMat-Bulk).

Structure (POSCAR):
```
CrTe2Pt
1.0
3.411 0.000 0.000
1.705 2.954 0.000
1.705 0.985 7.463
Cr Te Pt
1 2 1
direct
0.500 0.500 0.500
0.754 0.754 0.737
0.246 0.246 0.263
0.000 0.000 0.000
```

The data favor a; the next most stable structure lies 492 meV/atom above it.

a:
# TlCrPt

A crystal of TlCrPt relaxed with PBEsol (SCAN, Alexandria via LeMat-Bulk).

Structure (POSCAR):
```
TlCrPt
1.0
2.887 0.000 0.000
0.000 2.887 0.000
-1.443 -1.443 5.851
Tl Pt Cr
1 1 1
direct
0.340 0.340 0.680
0.645 0.645 0.290
0.015 0.015 0.030
```

b:
# TlCrPt

A crystal of TlCrPt relaxed with PBEsol (SCAN, Alexandria via LeMat-Bulk).

Structure (POSCAR):
```
TlCrPt
1.0
4.334 0.000 0.000
2.167 3.754 0.000
2.167 1.251 3.539
Tl Pt Cr
1 1 1
direct
0.500 0.500 0.500
0.000 0.000 0.000
0.750 0.750 0.750
```

The data favor b; the next most stable structure lies 83 meV/atom above it.

a:
# CrPt2W

A crystal of CrPt2W relaxed with PBEsol (SCAN, Alexandria via LeMat-Bulk).

Structure (POSCAR):
```
CrPt2W
1.0
-0.906 -2.303 -1.149
4.406 -1.291 -0.886
-0.114 -0.681 4.694
Cr Pt W
1 2 1
direct
0.000 0.500 0.000
0.747 0.746 0.494
0.253 0.254 0.506
0.500 0.000 0.000
```

b:
# CrPt2W

A crystal of CrPt2W relaxed with PBEsol (SCAN, Alexandria via LeMat-Bulk).

Structure (POSCAR):
```
CrPt2W
1.0
3.867 0.000 0.000
0.000 3.867 0.000
-1.934 -1.934 3.822
W Cr Pt
1 1 2
direct
0.000 0.000 0.000
0.250 0.750 0.500
0.500 0.500 0.000
0.750 0.250 0.500
```

c:
# CrPt2W

A crystal of CrPt2W relaxed with PBEsol (SCAN, Alexandria via LeMat-Bulk).

Structure (POSCAR):
```
CrPt2W
1.0
-0.642 0.212 -2.587
-2.588 -0.248 0.622
-0.563 7.850 0.783
Pt W Cr
2 1 1
direct
0.000 0.000 0.738
0.000 0.000 0.262
0.500 0.500 0.000
0.500 0.500 0.500
```

The data favor c; the next most stable structure lies 36 meV/atom above it.

a:
# Cr5Re

A crystal of Cr5Re relaxed with PBEsol (SCAN, Alexandria via LeMat-Bulk).

Structure (POSCAR):
```
Cr5Re
1.0
-2.738 0.866 0.080
-1.137 -3.420 -1.884
0.666 -3.155 5.326
Re Cr
1 5
direct
0.000 0.500 0.000
0.671 0.500 0.342
0.169 0.000 0.338
0.329 0.500 0.658
0.500 0.000 0.000
0.831 0.000 0.662
```

b:
# Cr5Re

A crystal of Cr5Re relaxed with PBEsol (SCAN, Alexandria via LeMat-Bulk).

Structure (POSCAR):
```
Cr5Re
1.0
2.866 0.000 0.000
-1.433 4.531 -0.003
0.000 -1.812 5.442
Cr Re
5 1
direct
0.831 0.661 0.673
0.500 0.000 0.000
0.170 0.340 0.842
0.830 0.660 0.158
0.169 0.339 0.327
0.500 0.000 0.500
```

The data favor b; the next most stable structure lies 7 meV/atom above it.

a:
# CrReRh3

A crystal of CrReRh3 relaxed with PBEsol (SCAN, Alexandria via LeMat-Bulk).

Structure (POSCAR):
```
CrReRh3
1.0
-0.987 4.440 0.778
-3.339 -1.255 2.926
3.027 0.063 3.482
Rh Cr Re
3 1 1
direct
0.000 0.000 0.500
0.500 0.000 0.000
0.000 0.500 0.000
0.500 0.500 0.500
0.000 0.000 0.000
```

b:
# CrReRh3

A crystal of CrReRh3 relaxed with PBEsol (SCAN, Alexandria via LeMat-Bulk).

Structure (POSCAR):
```
CrReRh3
1.0
4.316 0.000 0.000
0.000 4.316 0.000
0.000 0.000 4.316
Re Rh Cr
1 3 1
direct
0.500 0.500 0.500
0.000 0.500 0.000
0.000 0.000 0.500
0.500 0.000 0.000
0.000 0.000 0.000
```

The data favor a; the next most stable structure lies 271 meV/atom above it.